Entry 1:
Compound: Li3Ni2SnO6
Source: Alexandria
Functional: meta-GGA SCAN
Structure: PBEsol geometry

Results
Polymorph energy (0 for the lowest one) ... 0.000 eV/atom
Space group ... P-1

abc: 5.9744 6.6125 6.6138
angles: 73.18 63.27 76.98
Closest atoms and distances in Å follow each position.
Positions (direct):
O 0.7912 0.6567 0.0593  3 Ni 1.90-2.02, 1 Li 2.00
Sn 0.5000 0.0000 0.5000  6 O 2.06-2.08
Ni 0.6631 0.6609 0.8422  5 O 1.89-2.05
O 0.3726 0.9803 0.2635  2 Sn 2.07, 3 Li 2.11-2.14, 1 Ni 2.26
O 0.5450 0.6736 0.6062  2 Ni 1.96-2.13, 2 Li 2.02-2.17, 1 Sn 2.06
Li 0.5625 0.3525 0.6952  4 O 2.00-2.11
Li 0.9208 0.6417 0.3310  3 O 1.99-2.22
O 0.0102 0.6732 0.6108  2 Ni 1.95-2.12, 1 Li 1.99, 1 Sn 2.07
O 0.6274 0.0197 0.7365  2 Sn 2.07, 3 Li 2.11-2.14, 1 Ni 2.26
O 0.9898 0.3268 0.3892  2 Ni 1.95-2.12, 1 Li 1.99, 1 Sn 2.07
Ni 0.3369 0.3391 0.1578  5 O 1.89-2.05
O 0.4550 0.3264 0.3938  2 Ni 1.96-2.13, 2 Li 2.02-2.17, 1 Sn 2.06
Ni 0.8382 0.3395 0.1510  6 O 2.00-2.16
Li 0.2505 0.0022 0.9999  6 O 2.12-2.15
Li 0.0792 0.3583 0.6690  3 O 1.99-2.22
O 0.3207 0.6639 0.0574  3 Ni 1.89-2.05, 1 Li 2.02
O 0.8731 0.9976 0.2550  2 Sn 2.08, 3 Li 2.12-2.24, 1 Ni 2.16
Ni 0.1618 0.6605 0.8490  6 O 2.00-2.16
O 0.6793 0.3361 0.9426  3 Ni 1.89-2.05, 1 Li 2.02
Li 0.4375 0.6475 0.3048  4 O 2.00-2.11
O 0.2088 0.3433 0.9407  3 Ni 1.90-2.02, 1 Li 2.00
Sn 0.0000 0.0000 0.5000  6 O 2.07-2.08
Li 0.7495 0.9978 0.0001  6 O 2.12-2.15
O 0.1269 0.0024 0.7450  2 Sn 2.08, 3 Li 2.12-2.24, 1 Ni 2.16

---

Entry 2:
Compound: Li2Ni2SnO6
Source: Alexandria
Functional: meta-GGA SCAN
Structure: PBEsol geometry

Results
Space group ... Cmce
Total energy ... -11.67 eV/atom

abc: 5.0881 5.0881 9.9248
angles: 90.00 90.00 117.79
Closest atoms and distances in Å follow each position.
Positions (direct):
Ni 0.6624 0.3376 0.5000  4 O 1.88-1.89
O 0.1465 0.1465 0.0986  2 Ni 1.88, 1 Sn 2.10
O 0.4626 0.8291 0.1087  1 Ni 1.89, 2 Li 1.98-2.03, 1 Sn 2.07
Li 0.3612 0.8612 0.7500  4 O 1.98-2.03
Li 0.1388 0.6388 0.2500  4 O 1.98-2.03
Sn 0.5000 0.5000 0.0000  6 O 2.07-2.10
Sn 0.0000 0.0000 0.5000  6 O 2.07-2.10
O 0.8291 0.4626 0.1087  1 Ni 1.89, 2 Li 1.98-2.03, 1 Sn 2.07
O 0.3535 0.3535 0.5986  2 Ni 1.88, 1 Sn 2.10
O 0.6709 0.0374 0.6087  1 Ni 1.89, 2 Li 1.98-2.03, 1 Sn 2.07
Ni 0.8376 0.1624 0.0000  4 O 1.88-1.89
O 0.8535 0.8535 0.9014  2 Ni 1.88, 1 Sn 2.10
O 0.5374 0.1709 0.8913  1 Ni 1.89, 2 Li 1.98-2.03, 1 Sn 2.07
Li 0.6388 0.1388 0.2500  4 O 1.98-2.03
O 0.1709 0.5374 0.8913  1 Ni 1.89, 2 Li 1.98-2.03, 1 Sn 2.07
O 0.0374 0.6709 0.6087  1 Ni 1.89, 2 Li 1.98-2.03, 1 Sn 2.07
Ni 0.1624 0.8376 0.0000  4 O 1.88-1.89
Ni 0.3376 0.6624 0.5000  4 O 1.88-1.89
O 0.9626 0.3291 0.3913  1 Ni 1.89, 2 Li 1.98-2.03, 1 Sn 2.07
O 0.6465 0.6465 0.4014  2 Ni 1.88, 1 Sn 2.10
Li 0.8612 0.3612 0.7500  4 O 1.98-2.03
O 0.3291 0.9626 0.3913  1 Ni 1.89, 2 Li 1.98-2.03, 1 Sn 2.07

---

Entry 3:
Compound: Li3Ni2SnO6
Source: Alexandria
Functional: meta-GGA SCAN
Structure: PBEsol geometry

Results
Polymorph energy (0 for the lowest one) ... 0.008 eV/atom
Space group ... C2/m
Fermi-level density of states ... 3.49 states/eV/f.u.

abc: 2.9730 5.8985 6.6268
angles: 102.14 102.96 90.00
Closest atoms and distances in Å follow each position.
Positions (direct):
Li 0.3226 0.6841 0.6451  4 O 2.01-2.18
Li 0.6774 0.3159 0.3549  4 O 2.01-2.18
Li 0.0000 0.0000 0.0000  6 O 2.12-2.15
O 0.1700 0.0607 0.3401  3 Ni 1.95-2.03, 3 Li 2.10-2.15
O 0.4950 0.7421 0.9900  2 Sn 2.07, 3 Li 2.12-2.18, 1 Ni 2.21
Ni 0.3304 0.1546 0.6608  5 O 1.95-2.03
O 0.5050 0.2579 0.0100  2 Sn 2.07, 3 Li 2.12-2.18, 1 Ni 2.21
O 0.1631 0.6095 0.3262  1 Li 2.01, 2 Ni 2.03, 1 Sn 2.07
O 0.8369 0.3905 0.6738  1 Li 2.01, 2 Ni 2.03, 1 Sn 2.07
Sn 0.0000 0.5000 0.0000  6 O 2.07
Ni 0.6696 0.8454 0.3392  5 O 1.95-2.03
O 0.8300 0.9393 0.6599  3 Ni 1.95-2.03, 3 Li 2.10-2.15

---

Entry 4:
Compound: Li4Ni3Sn5O16
Source: Alexandria
Functional: meta-GGA SCAN
Structure: PBEsol geometry

Results
Space group ... P1
Fermi-level density of states ... 1.11 states/eV/f.u.
Total energy ... -13.81 eV/atom

abc: 5.9574 6.0191 9.6773
angles: 88.74 89.25 61.42
Closest atoms and distances in Å follow each position.
Positions (direct):
Li 0.6630 0.6721 0.5958  4 O 1.94-2.01
Ni 0.3400 0.8246 0.2861  5 O 1.89-2.11
O 0.8374 0.3200 0.9032  1 Li 1.91, 2 Sn 2.06-2.07, 1 Ni 2.08
O 0.3286 0.3281 0.9011  1 Ni 2.02, 1 Li 2.05, 2 Sn 2.05-2.06
O 0.0286 0.4867 0.6536  1 Li 2.00, 2 Sn 2.06-2.14, 1 Ni 2.07
O 0.1537 0.1838 0.3904  1 Li 1.87, 1 Ni 1.98, 1 Sn 2.03
O 0.5272 0.4908 0.1697  2 Ni 1.94-2.11, 1 Li 2.00, 1 Sn 2.09
Ni 0.1676 0.1694 0.7827  6 O 1.97-2.12
Li 0.3271 0.3187 0.1130  4 O 1.98-2.05
Sn 0.6587 0.1654 0.7864  6 O 2.03-2.12
O 0.9608 0.5085 0.1637  1 Ni 1.92, 1 Li 1.98, 1 Sn 2.12
O 0.0221 0.9994 0.1949  1 Li 1.78, 1 Ni 1.89
O 0.5040 0.9534 0.1610  1 Ni 1.92, 1 Li 1.98, 1 Sn 2.10
Sn 0.8288 0.8348 0.2865  6 O 2.03-2.12
Li 0.0275 0.0190 0.0108  3 O 1.78-1.91
O 0.8356 0.8336 0.9113  3 Sn 2.11-2.12, 1 Li 2.19
O 0.1676 0.6928 0.4042  1 Ni 1.92, 1 Li 1.99, 2 Sn 2.10-2.11
O 0.6849 0.1708 0.4005  1 Ni 1.95, 1 Li 1.99, 2 Sn 2.11
Sn 0.6571 0.6483 0.0149  6 O 2.05-2.16
O 0.0009 0.0017 0.6865  1 Li 1.80, 1 Ni 1.97
O 0.6467 0.6680 0.3905  2 Ni 1.90-2.02, 1 Li 1.99, 1 Sn 2.04
Sn 0.3295 0.3367 0.5032  6 O 2.03-2.17
O 0.4800 0.0352 0.6531  1 Li 2.01, 1 Ni 2.06, 2 Sn 2.07-2.14
O 0.4866 0.4858 0.6547  1 Li 1.94, 2 Sn 2.10-2.11
O 0.3258 0.8303 0.9027  1 Li 1.90, 2 Sn 2.05-2.07, 1 Ni 2.12
Li 0.0152 0.0216 0.5009  4 O 1.80-1.99
Ni 0.8292 0.3421 0.2852  6 O 1.92-2.03
Sn 0.1655 0.6586 0.7855  6 O 2.04-2.11

---

Entry 5:
Compound: Li3Ni4SnO8
Source: Alexandria
Functional: meta-GGA SCAN
Structure: PBEsol geometry

Results
Space group ... C2/m
Fermi-level density of states ... 3.53 states/eV/f.u.
Total energy ... -11.51 eV/atom

abc: 5.8678 5.8590 5.8939
angles: 119.83 90.00 120.05
Closest atoms and distances in Å follow each position.
Positions (direct):
Ni 0.0000 0.0000 0.0000  6 O 2.07-2.10
Li 0.0000 0.0000 0.5000  6 O 2.10
O 0.2534 0.0047 0.7552  2 Li 2.06-2.10, 1 Sn 2.06, 3 Ni 2.07-2.09
O 0.7481 0.4962 0.7217  4 Ni 1.97-2.10, 2 Li 2.19
O 0.7478 0.4956 0.2678  2 Ni 2.00, 1 Sn 2.06, 3 Li 2.10-2.16
O 0.7512 0.0047 0.7552  2 Li 2.06-2.10, 1 Sn 2.06, 3 Ni 2.07-2.09
Li 0.0000 0.5000 0.0000  6 O 2.06-2.19
Ni 0.5000 0.5000 0.5000  6 O 1.97-2.09
O 0.7466 0.9953 0.2448  2 Li 2.06-2.10, 1 Sn 2.06, 3 Ni 2.07-2.09
O 0.2488 0.9953 0.2448  2 Li 2.06-2.10, 1 Sn 2.06, 3 Ni 2.07-2.09
O 0.2522 0.5044 0.7322  2 Ni 2.00, 1 Sn 2.06, 3 Li 2.10-2.16
O 0.2519 0.5038 0.2783  4 Ni 1.97-2.10, 2 Li 2.19
Li 0.5000 0.5000 0.0000  6 O 2.06-2.19
Ni 0.0000 0.5000 0.5000  6 O 1.97-2.09
Ni 0.5000 0.0000 0.5000  6 O 2.06-2.09
Sn 0.5000 0.0000 0.0000  6 O 2.06

---

Entry 6:
Compound: Li4Ti3Ni3Sn2O16
Source: Alexandria
Functional: meta-GGA SCAN
Structure: PBEsol geometry

Results
Space group ... P1
Fermi-level density of states ... 1.14 states/eV/f.u.
Total energy ... -12.18 eV/atom

abc: 5.8155 5.8821 9.6654
angles: 90.11 89.92 59.58
Closest atoms and distances in Å follow each position.
Positions (direct):
Sn 0.6613 0.6707 0.4951  6 O 2.03-2.17
Sn 0.3168 0.3392 0.9880  6 O 2.03-2.16
O 0.3141 0.8486 0.6053  1 Li 1.88, 2 Ni 1.92-2.01, 1 Sn 2.04
Ni 0.1684 0.6589 0.7152  6 O 1.89-2.01
Ni 0.3515 0.8251 0.2133  6 O 2.00-2.07
O 0.5217 0.5106 0.3430  1 Li 1.94, 1 Ti 1.95, 1 Ni 2.03, 1 Sn 2.12
O 0.0326 0.4731 0.8277  2 Ni 1.91-1.97, 1 Li 1.95, 1 Sn 2.11
Ti 0.6587 0.1688 0.7150  6 O 1.93-2.01
O 0.4686 0.4940 0.8333  1 Ni 1.89, 1 Li 1.94, 1 Ti 2.01
O 0.8212 0.3233 0.5982  1 Li 1.93, 1 Ti 1.97, 1 Sn 2.03, 1 Ni 2.10
Li 0.0148 0.9926 0.9923  3 O 1.80-1.90
Li 0.0070 0.9982 0.4939  4 O 1.81-1.96
O 0.5095 0.0288 0.8447  1 Li 1.90, 1 Ti 1.93, 1 Sn 2.10, 1 Ni 2.12
Ti 0.8222 0.3428 0.2157  6 O 1.93-2.00
O 0.9657 0.5181 0.3347  1 Li 1.94, 2 Ti 1.99
O 0.6669 0.1684 0.1028  2 Ti 2.00-2.01, 1 Li 2.04, 1 Sn 2.08
O 0.1522 0.6801 0.0999  1 Li 1.90, 1 Ti 1.98, 1 Sn 2.04, 1 Ni 2.07
Li 0.3305 0.3350 0.4006  4 O 1.93-2.00
Li 0.6626 0.6662 0.8912  4 O 1.90-2.02
O 0.0083 0.0106 0.8059  1 Li 1.80, 2 Ni 1.86-1.99, 1 Ti 1.97
Ti 0.8239 0.8352 0.2143  6 O 1.94-2.01
O 0.6906 0.6546 0.0998  2 Ti 1.95, 1 Ni 2.02, 1 Li 2.02
Ni 0.1751 0.1653 0.7129  4 O 1.86-1.92
O 0.9940 0.0036 0.3065  1 Li 1.81, 2 Ti 1.93-1.94, 1 Ni 2.00
O 0.5265 0.9688 0.3446  1 Li 1.93, 1 Ti 1.95, 1 Ni 2.06, 1 Sn 2.10
O 0.3326 0.3198 0.6075  2 Ni 1.88-2.01, 1 Ti 1.94, 1 Li 2.00
O 0.1530 0.1659 0.1013  1 Li 1.90, 1 Ti 1.99, 1 Sn 2.03, 1 Ni 2.05
O 0.8498 0.8334 0.6053  1 Ni 1.92, 1 Li 1.96, 1 Ti 2.00, 1 Sn 2.08

---

Entry 7:
Compound: Li4V3Ni3Sn2O16
Source: Alexandria
Functional: meta-GGA SCAN
Structure: PBEsol geometry

Results
Space group ... Cm
Fermi-level density of states ... 5.03 states/eV/f.u.
Total energy ... -12.14 eV/atom

abc: 5.7526 5.8129 9.6359
angles: 89.26 90.00 60.34
Closest atoms and distances in Å follow each position.
Positions (direct):
V 0.6463 0.1797 0.7852  6 O 1.87-1.99
O 0.3435 0.3131 0.9040  2 V 1.91, 1 Li 2.00, 1 Ni 2.05
Ni 0.8333 0.8219 0.2860  6 O 1.93-2.09
Ni 0.1715 0.6571 0.7879  6 O 2.01-2.05
Li 0.3418 0.3165 0.1116  4 O 1.89-2.00
Li 0.9967 0.0065 0.5058  4 O 1.84-1.93
O 0.9902 0.0198 0.6964  1 Li 1.84, 2 V 1.93, 1 Ni 2.02
O 0.8296 0.8537 0.8954  1 Li 1.93, 1 V 1.95, 1 Ni 2.01, 1 Sn 2.05
O 0.1517 0.6964 0.4017  1 Li 1.87, 2 Ni 1.95, 1 Sn 2.01
Ni 0.3446 0.8219 0.2860  6 O 1.93-2.09
V 0.1741 0.1798 0.7853  6 O 1.87-1.99
O 0.3168 0.8537 0.8954  1 Li 1.93, 1 V 1.95, 1 Ni 2.01, 1 Sn 2.05
O 0.9943 0.0114 0.1978  1 Li 1.82, 1 V 1.88, 2 Ni 1.94
Sn 0.6639 0.6724 0.0099  6 O 2.05-2.11
V 0.8275 0.3449 0.2824  6 O 1.85-1.93
O 0.0340 0.4718 0.6645  1 V 1.87, 1 Li 1.94, 1 Ni 2.02
O 0.4943 0.4717 0.6645  1 V 1.87, 1 Li 1.94, 1 Ni 2.02
O 0.4835 0.0331 0.6605  1 Li 1.94, 2 V 1.97
O 0.6808 0.6382 0.3956  1 V 1.85, 1 Li 1.97, 2 Ni 1.98
Sn 0.3274 0.3452 0.5018  6 O 2.01-2.18
O 0.1497 0.1757 0.3946  1 Li 1.93, 1 V 1.93, 1 Sn 2.03, 1 Ni 2.09
Li 0.6657 0.6686 0.5992  4 O 1.94-1.97
Li 0.0002 0.9997 0.0091  4 O 1.82-1.99
O 0.6745 0.1756 0.3946  1 Li 1.93, 1 V 1.93, 1 Sn 2.03, 1 Ni 2.09
O 0.9748 0.4948 0.1588  1 Li 1.89, 1 V 1.90, 1 Ni 2.08, 1 Sn 2.11
O 0.5304 0.4948 0.1588  1 Li 1.89, 1 V 1.90, 1 Ni 2.08, 1 Sn 2.11
O 0.5230 0.9539 0.1664  1 Li 1.90, 2 Ni 1.93, 1 Sn 2.09
O 0.8361 0.3279 0.8929  1 Li 1.99, 2 V 1.99, 1 Sn 2.09

---

Entry 8:
Compound: SrLi4NiO4
Source: Alexandria
Functional: meta-GGA SCAN
Structure: PBEsol geometry

Results
Space group ... Pbca
Total energy ... -9.27 eV/atom

abc: 5.1106 9.4656 17.4977
angles: 90.00 90.00 90.00
Closest atoms and distances in Å follow each position.
Positions (direct):
O 0.6204 0.0136 0.1388  1 Ni 1.95, 4 Li 1.95-2.03
Li 0.7360 0.1863 0.1896  3 O 1.91-1.95
Ni 0.2472 0.5516 0.3726  4 O 1.91-2.07
Li 0.2109 0.6505 0.5920  3 O 1.89-2.00
Li 0.2360 0.3137 0.1896  3 O 1.91-1.95
O 0.3796 0.4864 0.6388  1 Ni 1.95, 4 Li 1.95-2.03
Ni 0.7472 0.4484 0.1274  4 O 1.91-2.07
O 0.6283 0.1571 0.3656  3 Li 1.89-2.04, 1 Ni 2.07
Li 0.2109 0.1505 0.9080  3 O 1.89-2.00
Sr 0.7600 0.6213 0.9828  5 O 2.41-2.56
O 0.9100 0.3658 0.7154  1 Ni 1.91, 5 Li 1.91-2.11
Li 0.1145 0.0470 0.7852  4 O 1.98-2.15
Li 0.4663 0.8326 0.1821  4 O 1.92-2.04
Li 0.2360 0.8137 0.3104  3 O 1.91-1.95
Li 0.7891 0.8495 0.0920  3 O 1.89-2.00
O 0.3796 0.9864 0.8612  1 Ni 1.95, 4 Li 1.95-2.03
O 0.4100 0.6342 0.7846  1 Ni 1.91, 5 Li 1.91-2.11
O 0.7590 0.8758 0.9787  1 Ni 1.98, 1 Li 2.00
Li 0.3855 0.0470 0.2852  4 O 1.98-2.15
O 0.0900 0.1342 0.2154  1 Ni 1.91, 5 Li 1.91-2.11
O 0.8796 0.0136 0.6388  1 Ni 1.95, 4 Li 1.95-2.03
Li 0.4663 0.3326 0.3179  4 O 1.92-2.04
Sr 0.2600 0.3787 0.5172  5 O 2.41-2.56
O 0.8796 0.5136 0.8612  1 Ni 1.95, 4 Li 1.95-2.03
O 0.2410 0.6242 0.4787  1 Ni 1.98, 1 Li 2.00
O 0.1283 0.3429 0.3656  3 Li 1.89-2.04, 1 Ni 2.07
Sr 0.7400 0.6213 0.4828  5 O 2.41-2.56
Ni 0.2472 0.0516 0.1274  4 O 1.91-2.07
O 0.7410 0.8758 0.4787  1 Ni 1.98, 1 Li 2.00
Ni 0.7528 0.4484 0.6274  4 O 1.91-2.07
O 0.2410 0.1242 0.0213  1 Ni 1.98, 1 Li 2.00
O 0.7410 0.3758 0.0213  1 Ni 1.98, 1 Li 2.00
O 0.3717 0.3429 0.8656  3 Li 1.89-2.04, 1 Ni 2.07
Li 0.6145 0.9530 0.7148  4 O 1.98-2.15
O 0.2590 0.1242 0.5213  1 Ni 1.98, 1 Li 2.00
Li 0.7640 0.6863 0.8104  3 O 1.91-1.95
Ni 0.7528 0.9484 0.8726  4 O 1.91-2.07
O 0.7590 0.3758 0.5213  1 Ni 1.98, 1 Li 2.00
Ni 0.7472 0.9484 0.3726  4 O 1.91-2.07
Li 0.9663 0.1674 0.3179  4 O 1.92-2.04
Li 0.7109 0.8495 0.5920  3 O 1.89-2.00
Li 0.1145 0.5470 0.7148  4 O 1.98-2.15
Li 0.2891 0.6505 0.0920  3 O 1.89-2.00
Li 0.7891 0.3495 0.4080  3 O 1.89-2.00
O 0.6283 0.6571 0.1344  3 Li 1.89-2.04, 1 Ni 2.07
Li 0.8855 0.4530 0.2852  4 O 1.98-2.15
Li 0.8855 0.9530 0.2148  4 O 1.98-2.15
O 0.5900 0.3658 0.2154  1 Ni 1.91, 5 Li 1.91-2.11
Li 0.5337 0.6674 0.6821  4 O 1.92-2.04
O 0.8717 0.1571 0.8656  3 Li 1.89-2.04, 1 Ni 2.07
O 0.9100 0.8658 0.7846  1 Ni 1.91, 5 Li 1.91-2.11
O 0.8717 0.6571 0.6344  3 Li 1.89-2.04, 1 Ni 2.07
O 0.3717 0.8429 0.6344  3 Li 1.89-2.04, 1 Ni 2.07
Sr 0.2400 0.8787 0.4828  5 O 2.41-2.56
Sr 0.2400 0.3787 0.0172  5 O 2.41-2.56
Li 0.0337 0.8326 0.6821  4 O 1.92-2.04
O 0.1283 0.8429 0.1344  3 Li 1.89-2.04, 1 Ni 2.07
O 0.1204 0.9864 0.3612  1 Ni 1.95, 4 Li 1.95-2.03
Li 0.0337 0.3326 0.8179  4 O 1.92-2.04
Li 0.7360 0.6863 0.3104  3 O 1.91-1.95
Li 0.5337 0.1674 0.8179  4 O 1.92-2.04
O 0.6204 0.5136 0.3612  1 Ni 1.95, 4 Li 1.95-2.03
O 0.0900 0.6342 0.2846  1 Ni 1.91, 5 Li 1.91-2.11
Li 0.6145 0.4530 0.7852  4 O 1.98-2.15
O 0.1204 0.4864 0.1388  1 Ni 1.95, 4 Li 1.95-2.03
Li 0.2640 0.3137 0.6896  3 O 1.91-1.95
O 0.4100 0.1342 0.7154  1 Ni 1.91, 5 Li 1.91-2.11
O 0.5900 0.8658 0.2846  1 Ni 1.91, 5 Li 1.91-2.11
Li 0.7109 0.3495 0.9080  3 O 1.89-2.00
Sr 0.7400 0.1213 0.0172  5 O 2.41-2.56
Sr 0.7600 0.1213 0.5172  5 O 2.41-2.56
Li 0.2891 0.1505 0.4080  3 O 1.89-2.00
Ni 0.2528 0.0516 0.6274  4 O 1.91-2.07
Li 0.3855 0.5470 0.2148  4 O 1.98-2.15
O 0.2590 0.6242 0.9787  1 Ni 1.98, 1 Li 2.00
Sr 0.2600 0.8787 0.9828  5 O 2.41-2.56
Li 0.9663 0.6674 0.1821  4 O 1.92-2.04
Li 0.2640 0.8137 0.8104  3 O 1.91-1.95
Li 0.7640 0.1863 0.6896  3 O 1.91-1.95
Ni 0.2528 0.5516 0.8726  4 O 1.91-2.07